Entry 1:
## Nd4SbP3 (PBE)

Data for a relaxed Nd4SbP3 crystal.

Computed properties:
energy relative to the elements, uncorrected	-1.403	eV per atom
SG	Pmmm
Fermi-level density of states	1.40	states/eV/f.u.

Geometry as extended XYZ:
```
8
Lattice="4.237 0.000 0.000 0.000 6.039 0.000 0.000 0.000 8.549" Properties=species:S:1:pos:R:3 pbc="T T T"
Nd 0.000 0.000 0.000
Nd 0.000 0.000 4.275
Nd 2.118 3.020 1.983
Nd 2.118 3.020 6.566
Sb 0.000 3.020 4.275
P 0.000 3.020 0.000
P 2.118 0.000 2.115
P 2.118 0.000 6.434
```

Entry 2:
## ZrSiRh2 (PBE)

Data for a relaxed ZrSiRh2 crystal.

Computed properties:
energy relative to the elements, uncorrected	-0.483	eV per atom
SG	I-42d
Fermi-level density of states	3.35	states/eV/f.u.

Geometry as extended XYZ:
```
8
Lattice="-3.446 3.446 2.843 3.446 -3.446 2.843 3.446 3.446 -2.843" Properties=species:S:1:pos:R:3 pbc="T T T"
Zr 0.000 0.000 0.000
Zr 0.000 3.446 1.422
Si 3.446 0.000 1.422
Si 0.000 0.000 2.843
Rh 1.723 -1.364 2.132
Rh 2.082 1.723 0.711
Rh 1.723 4.809 -0.711
Rh 1.364 1.723 3.554
```

Entry 3:
## MnSn3Rh6 (PBE)

Data for a relaxed MnSn3Rh6 crystal.

Computed properties:
final energy	-136.321	eV for the cell shown
SG	P2_1/m
Fermi-level density of states	7.29	states/eV/f.u.

Geometry as extended XYZ:
```
20
Lattice="7.858 0.000 0.000 0.000 4.490 0.000 -3.752 0.000 9.149" Properties=species:S:1:pos:R:3 pbc="T T T"
Mn 0.653 1.123 0.695
Mn 3.454 3.368 8.454
Sn -2.179 3.368 6.485
Sn 0.528 3.368 4.808
Sn -0.541 1.123 7.993
Sn 4.648 3.368 1.156
Sn 3.578 1.123 4.341
Sn 6.286 1.123 2.665
Rh -0.253 3.368 1.883
Rh -1.124 1.123 5.315
Rh 1.983 3.368 0.004
Rh 0.998 1.123 3.283
Rh 2.505 3.368 2.904
Rh 3.135 1.123 1.490
Rh 0.971 3.368 7.660
Rh 1.601 1.123 6.245
Rh 3.108 3.368 5.866
Rh 2.123 1.123 9.145
Rh 5.230 3.368 3.834
Rh 4.359 1.123 7.266
```

Entry 4:
## PrBSe4 (PBE)

Data for a relaxed PrBSe4 crystal.

Computed properties:
energy relative to the elements, uncorrected	-0.533	eV per atom
SG	I4_1/amd
Fermi-level density of states	7.84	states/eV/f.u.

Geometry as extended XYZ:
```
12
Lattice="-4.674 4.674 3.674 4.674 -4.674 3.674 4.674 4.674 -3.674" Properties=species:S:1:pos:R:3 pbc="T T T"
Pr 4.674 2.337 0.918
Pr 0.000 2.337 2.755
B 4.674 -2.337 2.755
B 0.000 7.011 0.918
Se 4.674 -0.660 1.574
Se 4.674 4.013 -1.574
Se 1.677 2.337 0.263
Se 2.997 -2.337 3.936
Se 1.677 7.011 -0.263
Se 2.997 2.337 3.411
Se 0.000 0.660 5.248
Se 0.000 5.334 2.100
```

Entry 5:
## Na2VS4 (PBE)

Data for a relaxed Na2VS4 crystal.

Computed properties:
energy relative to the elements, uncorrected	-0.692	eV per atom
SG	Fmmm
Fermi-level density of states	0.91	states/eV/f.u.

Geometry as extended XYZ:
```
14
Lattice="0.000 6.841 6.864 5.586 0.000 6.864 5.586 6.841 0.000" Properties=species:S:1:pos:R:3 pbc="T T T"
Na 5.586 3.004 6.864
Na 5.586 6.841 3.052
Na 5.586 6.841 10.675
Na 5.586 10.678 6.864
V 2.793 3.420 3.432
V 8.379 10.261 10.296
S 4.020 2.171 4.680
S 4.020 4.670 2.184
S 1.565 2.171 2.184
S 9.606 9.012 9.048
S 1.565 4.670 4.680
S 9.606 11.510 11.543
S 7.151 9.012 11.543
S 7.151 11.510 9.048
```

Entry 6:
## DyEr2Ge (PBE)

Data for a relaxed DyEr2Ge crystal.

Computed properties:
final energy	-18.468	eV for the cell shown
SG	R-3m
Fermi-level density of states	4.99	states/eV/f.u.

Geometry as extended XYZ:
```
4
Lattice="1.763 1.018 10.874 -1.763 1.018 10.874 0.000 -2.036 10.874" Properties=species:S:1:pos:R:3 pbc="T T T"
Dy 0.000 0.000 0.000
Er 0.000 0.000 3.402
Er 0.000 0.000 29.221
Ge 0.000 0.000 16.311
```